Entry 1:
Computed, not measured: a relaxed structure of NbGa2HCl at the PBEsol level of DFT.

Cell lengths 2.8610, 5.2901, 5.2901 Å; angles 90.00, 90.00, 90.00 degrees
Positions (direct):
Nb 0.5000 0.5000 0.5000
Cl 0.0000 0.0000 0.0000
Ga 0.0000 0.0000 0.5000
Ga 0.0000 0.5000 0.0000
H 0.5000 0.0000 0.0000

Theoretical density, g cm⁻³: 5.6
Total moment, μB/cell: 0.0
Space-group type: P4/mmm, No. 123
Total energy, eV for the cell shown: -20.9
Calculated volume, Å³/atom: 16.013

=====

Entry 2:
Computed, not measured: a relaxed structure of Bi4PbS7 at the PBEsol level of DFT.

Cell lengths 3.9720, 6.9158, 11.9823 Å; angles 104.57, 90.00, 106.69 degrees
Positions (direct):
S 0.5315 0.0630 0.0328
S 0.9497 0.8995 0.7227
S 0.7382 0.4765 0.8489
S 0.2722 0.5445 0.1350
S 0.6564 0.3127 0.5381
S 0.3439 0.6879 0.4556
S 0.0160 0.0319 0.2866
Bi 0.3008 0.6017 0.6635
Bi 0.8868 0.7735 0.0673
Bi 0.1264 0.2527 0.9269
Bi 0.9943 0.9887 0.5070
Pb 0.6636 0.3273 0.2915

Theoretical density, g cm⁻³: 6.9
Total moment, μB/cell: 0.0
Energy relative to the elements, uncorrected, eV per atom: -0.410
Space-group type: Cm, No. 8
Total energy, eV for the cell shown: -56.8
Calculated volume, Å³/atom: 25.352

=====

Entry 3:
Computed, not measured: a relaxed structure of ScTa2Au at the PBEsol level of DFT.

Cell lengths 2.9939, 2.9939, 9.6241 Å; angles 81.05, 81.05, 60.00 degrees
Positions (direct):
Ta 0.7516 0.7516 0.7452
Ta 0.0005 0.0005 0.9985
Au 0.4989 0.4989 0.5033
Sc 0.2490 0.2490 0.2531

Theoretical density, g cm⁻³: 13.6
Total moment, μB/cell: 0.0
Space-group type: R3m, No. 160
Total energy, eV for the cell shown: -35.4
Calculated volume, Å³/atom: 18.374
Offset from the most stable computed form, meV per atom: 56
Energy of formation from the pure elements, meV per atom: 49

=====

Entry 4:
Computed, not measured: a relaxed structure of Zn3Au at the PBEsol level of DFT.

Cell lengths 2.8827, 4.3143, 4.7138 Å; angles 90.00, 90.00, 90.00 degrees
Positions (direct):
Zn 0.5000 0.0000 0.4955
Zn 0.0000 0.5000 0.3435
Zn 0.5000 0.5000 0.8262
Au 0.0000 0.0000 0.0015

Theoretical density, g cm⁻³: 11.1
Total moment, μB/cell: 0.0
Space-group type: Pmm2, No. 25
Total energy, eV for the cell shown: -9.2
Calculated volume, Å³/atom: 14.656
Energy of formation from the pure elements, meV per atom: -143

=====

Entry 5:
Computed, not measured: a relaxed structure of As2WBrF at the PBEsol level of DFT.

Cell lengths 4.2160, 4.2160, 5.0378 Å; angles 90.00, 90.00, 90.00 degrees
Last column: magnetic moment on the atom in μB.
Positions (direct):
Br 0.0000 0.0000 0.5000  -0.04
F 0.0000 0.0000 0.0000  -0.01
W 0.5000 0.5000 0.5000  2.12
As 0.0000 0.5000 0.0000  -0.12
As 0.5000 0.0000 0.0000  -0.12

Theoretical density, g cm⁻³: 8.0
Total moment, μB/cell: 2.3
Energy relative to the elements, uncorrected, eV per atom: 0.836
Space-group type: P4/mmm, No. 123
Total energy, eV for the cell shown: -23.6
Calculated volume, Å³/atom: 17.909

=====

Entry 6:
Computed, not measured: a relaxed structure of MgTl3F at the PBEsol level of DFT.

Cell lengths 5.0885, 5.0885, 5.0885 Å; angles 90.00, 90.00, 90.00 degrees
Positions (direct):
Mg 0.5000 0.5000 0.5000
Tl 0.0000 0.0000 0.5000
Tl 0.0000 0.5000 0.0000
Tl 0.5000 0.0000 0.0000
F 0.0000 0.0000 0.0000

Theoretical density, g cm⁻³: 8.3
Total moment, μB/cell: 0.0
Energy relative to the elements, uncorrected, eV per atom: -0.481
Space-group type: Pm-3m, No. 221
Total energy, eV for the cell shown: -13.9
Calculated volume, Å³/atom: 26.351

=====

Entry 7:
Computed, not measured: a relaxed structure of NbAuS2Cl at the PBEsol level of DFT.

Cell lengths 4.6345, 4.7915, 4.7915 Å; angles 90.00, 90.00, 90.00 degrees
Last column: magnetic moment on the atom in μB.
Positions (direct):
S 0.0000 0.5000 0.0000  -0.14
S 0.0000 0.0000 0.5000  -0.14
Au 0.0000 0.0000 0.0000  -0.01
Cl 0.5000 0.0000 0.0000  -0.01
Nb 0.5000 0.5000 0.5000  2.38

Theoretical density, g cm⁻³: 6.1
Total moment, μB/cell: 2.5
Energy relative to the elements, uncorrected, eV per atom: 0.750
Space-group type: P4/mmm, No. 123
Total energy, eV for the cell shown: -21.8
Calculated volume, Å³/atom: 21.280

=====

Entry 8:
Computed, not measured: a relaxed structure of Cu3N at the PBEsol level of DFT.

Cell lengths 3.7546, 3.7546, 3.7546 Å; angles 90.00, 90.00, 90.00 degrees
Positions (direct):
Cu 0.5000 0.0000 0.0000
Cu 0.0000 0.0000 0.5000
Cu 0.0000 0.5000 0.0000
N 0.0000 0.0000 0.0000

Theoretical density, g cm⁻³: 6.4
Total moment, μB/cell: 0.0
Energy relative to the elements, uncorrected, eV per atom: 0.259
Space-group type: Pm-3m, No. 221
Total energy, eV for the cell shown: -20.5
Calculated volume, Å³/atom: 13.232